# Pm7NiS5

An optimized crystal structure of Pm7NiS5 (PBE, the Alexandria database).

Cell lengths 3.9531, 6.9460, 24.1947 Å; angles 90.00, 90.00, 106.53 degrees
Closest atoms and distances in Å follow each position.
Fractional positions:
S1 0.2755 0.5510 0.4286  6 Pm 2.80-2.86
S2 0.0002 0.0004 0.5000  6 Pm 2.83-2.84
S3 0.5507 0.1014 0.1434  6 Pm 2.83-2.87
S4 0.5506 0.1012 0.3566  6 Pm 2.83-2.87
S5 0.7250 0.4499 0.5714  6 Pm 2.80-2.86
S6 0.0003 0.0007 0.0000  6 Pm 2.83-2.84
S7 0.7250 0.4501 0.9286  6 Pm 2.80-2.86
S8 0.4499 0.8998 0.6434  6 Pm 2.83-2.87
S9 0.2756 0.5512 0.0714  6 Pm 2.80-2.86
S10 0.4500 0.8999 0.8566  6 Pm 2.83-2.87
Pm1 0.9136 0.8273 0.3930  5 S 2.83
Pm2 0.1940 0.3881 0.3220  3 S 2.80-2.87, 2 Ni 3.01
Pm3 0.8065 0.6131 0.8220  3 S 2.80-2.87, 2 Ni 3.00
Pm4 0.3626 0.7252 0.9634  6 S 2.82-2.86
Pm5 0.0868 0.1736 0.6070  5 S 2.83
Pm6 0.9137 0.8275 0.1070  5 S 2.83
Pm7 0.6380 0.2761 0.0366  6 S 2.82-2.86
Pm8 0.3625 0.7250 0.5366  6 S 2.82-2.86
Pm9 0.0869 0.1738 0.8930  5 S 2.83
Pm10 0.1941 0.3882 0.1780  3 S 2.80-2.87, 2 Ni 3.01
Pm11 0.8065 0.6129 0.6780  3 S 2.80-2.87, 2 Ni 3.01
Pm12 0.5438 0.0876 0.7500  2 Ni 2.85, 2 S 2.87
Pm13 0.6379 0.2759 0.4634  6 S 2.82-2.86
Pm14 0.4568 0.9136 0.2500  2 Ni 2.85, 2 S 2.87
Ni1 0.8028 0.6056 0.2500  6 Pm 2.85-3.01
Ni2 0.1979 0.3958 0.7500  6 Pm 2.85-3.01

Calculated values
Space-group type   Cmcm
Density of states at the Fermi level   15.3 states/eV per cell
Raw formation energy   -20.73 eV/f.u.
Size of the total moment   0.000 μB/cell
VASP energy   -6.185 eV per atom

# Pm8NiSe4S3

An optimized crystal structure of Pm8NiSe4S3 (PBE, the Alexandria database).

Cell lengths 8.2125, 8.3044, 8.2127 Å; angles 119.63, 120.00, 90.00 degrees
Closest atoms and distances in Å follow each position.
Fractional positions:
S1 0.0000 0.5000 0.5000  6 Pm 2.85-2.87
S2 0.5000 0.5000 0.5000  6 Pm 2.85-2.87
S3 0.5000 0.5000 0.0000  6 Pm 2.85-2.87
Se1 0.0000 0.0000 0.5000  6 Pm 2.98-2.99
Se2 0.5000 0.0000 0.0000  6 Pm 3.04
Se3 0.5000 0.0000 0.5000  6 Pm 2.98-2.99
Se4 0.0000 0.0000 0.0000  6 Pm 2.98-2.99
Pm1 0.2488 0.2693 0.0091  1 Ni 2.80, 2 S 2.87, 3 Se 2.98-3.04
Pm2 0.7602 0.2693 0.5204  1 Ni 2.80, 2 S 2.87, 3 Se 2.98-3.04
Pm3 0.7439 0.7316 0.4878  3 S 2.85, 3 Se 2.99
Pm4 0.2397 0.7307 0.9909  1 Ni 2.80, 2 S 2.87, 3 Se 2.98-3.04
Pm5 0.7512 0.7307 0.9909  1 Ni 2.80, 2 S 2.87, 3 Se 2.98-3.04
Pm6 0.2561 0.2684 0.5122  3 S 2.85, 3 Se 2.99
Pm7 0.2398 0.7307 0.4796  1 Ni 2.80, 2 S 2.87, 3 Se 2.98-3.04
Pm8 0.7603 0.2693 0.0091  1 Ni 2.80, 2 S 2.87, 3 Se 2.98-3.04
Ni1 0.0000 0.5000 0.0000  6 Pm 2.80

Calculated values
Space-group type   R-3m
Density of states at the Fermi level   6.0 states/eV per cell
Raw formation energy   -27.74 eV/f.u.
Size of the total moment   0.000 μB/cell
VASP energy   -6.116 eV per atom

# PmTiNiS3

An optimized crystal structure of PmTiNiS3 (PBE, the Alexandria database).

Cell lengths 3.6713, 7.2923, 8.2914 Å; angles 104.50, 90.00, 90.00 degrees
Closest atoms and distances in Å follow each position.
Fractional positions:
Ni1 0.2500 0.0956 0.5966  4 S 2.22-2.45
Ni2 0.7500 0.9044 0.4034  4 S 2.22-2.45
Ti1 0.2500 0.6845 0.1743  6 S 2.40-2.58
Ti2 0.7500 0.3155 0.8257  6 S 2.40-2.58
Pm1 0.2500 0.1988 0.2549  7 S 2.83-3.13, 1 Ni 3.11
Pm2 0.7500 0.8012 0.7451  7 S 2.83-3.13, 1 Ni 3.11
S1 0.7500 0.2469 0.5276  3 Ni 2.29-2.45, 1 Ti 2.40
S2 0.2500 0.7531 0.4724  3 Ni 2.29-2.45, 1 Ti 2.40
S3 0.7500 0.4379 0.1460  3 Ti 2.54-2.58, 2 Pm 2.83
S4 0.7500 0.9002 0.1350  1 Ni 2.22
S5 0.2500 0.0998 0.8650  1 Ni 2.22
S6 0.2500 0.5621 0.8540  3 Ti 2.54-2.58, 2 Pm 2.83

Calculated values
Space-group type   P2_1/m
Density of states at the Fermi level   4.5 states/eV per cell
Raw formation energy   -8.43 eV/f.u.
Size of the total moment   0.597 μB/cell
VASP energy   -6.541 eV per atom

# Pm2UNiS5

An optimized crystal structure of Pm2UNiS5 (PBE, the Alexandria database).

Cell lengths 3.8162, 8.4187, 11.9390 Å; angles 90.00, 90.00, 103.10 degrees
Closest atoms and distances in Å follow each position.
Fractional positions:
Ni1 0.5542 0.1083 0.9192  4 S 2.24-2.27
Ni2 0.4458 0.8917 0.4192  4 S 2.24-2.27
S1 0.6976 0.3951 0.1894  2 U 2.75, 3 Pm 3.03-3.06
S2 0.3024 0.6049 0.6894  2 U 2.75, 3 Pm 3.03-3.06
S3 0.5052 0.0103 0.2502  1 Ni 2.24
S4 0.3148 0.6295 0.3639  1 Ni 2.25
S5 0.4948 0.9897 0.7502  1 Ni 2.24
S6 0.9821 0.9642 0.5099  2 Ni 2.27
S7 0.6575 0.3149 0.5211  1 U 2.73, 4 Pm 2.90
S8 0.3425 0.6851 0.0211  1 U 2.73, 4 Pm 2.90
S9 0.6852 0.3705 0.8639  1 Ni 2.25
S10 0.0179 0.0358 0.0099  2 Ni 2.27
U1 0.1763 0.3527 0.0265  6 S 2.61-2.75
U2 0.8237 0.6473 0.5265  6 S 2.61-2.75
Pm1 0.1125 0.2251 0.3486  7 S 2.85-3.03
Pm2 0.8875 0.7749 0.8486  7 S 2.85-3.03
Pm3 0.8844 0.7688 0.1952  8 S 2.83-3.11
Pm4 0.1156 0.2312 0.6952  8 S 2.83-3.11

Calculated values
Space-group type   Cmc2_1
Density of states at the Fermi level   13.4 states/eV per cell
Raw formation energy   -14.26 eV/f.u.
Size of the total moment   3.483 μB/cell
VASP energy   -6.829 eV per atom

# PmUNiS4

An optimized crystal structure of PmUNiS4 (PBE, the Alexandria database).

Cell lengths 6.3264, 5.8687, 7.7271 Å; angles 90.00, 106.80, 90.00 degrees
Closest atoms and distances in Å follow each position.
Fractional positions:
U1 0.2410 0.2500 0.5568  6 S 2.71-2.80
U2 0.7590 0.7500 0.4432  6 S 2.71-2.80
Ni1 0.2371 0.7500 0.3257  4 S 2.16-2.24
Ni2 0.7629 0.2500 0.6743  4 S 2.16-2.24
S1 0.5688 0.2500 0.8751  1 Ni 2.24
S2 0.0187 0.9884 0.7444  1 Ni 2.18
S3 0.4336 0.7500 0.6059  1 Ni 2.16
S4 0.4312 0.7500 0.1249  1 Ni 2.24
S5 0.0187 0.5116 0.7444  1 Ni 2.18
S6 0.9813 0.0116 0.2556  1 Ni 2.18
S7 0.9813 0.4884 0.2556  1 Ni 2.18
S8 0.5664 0.2500 0.3941  1 Ni 2.16
Pm1 0.7465 0.7500 0.9386  6 S 2.75-2.94
Pm2 0.2535 0.2500 0.0614  6 S 2.75-2.94

Calculated values
Space-group type   P2_1/m
Density of states at the Fermi level   12.9 states/eV per cell
Raw formation energy   -9.50 eV/f.u.
Size of the total moment   3.018 μB/cell
VASP energy   -6.833 eV per atom

# Pm3Ni3Sb4

An optimized crystal structure of Pm3Ni3Sb4 (PBE, the Alexandria database).

Cell lengths 8.3359, 8.3359, 8.3359 Å; angles 109.47, 109.47, 109.47 degrees
Closest atoms and distances in Å follow each position.
Fractional positions:
Pm1 0.3750 0.1250 0.7500  4 Ni 2.95, 4 Sb 3.23
Pm2 0.7500 0.6250 0.3750  4 Ni 2.95, 4 Sb 3.23
Pm3 0.1250 0.3750 0.2500  4 Ni 2.95, 4 Sb 3.23
Pm4 0.6250 0.7500 0.8750  4 Ni 2.95, 4 Sb 3.23
Pm5 0.2500 0.8750 0.1250  4 Ni 2.95, 4 Sb 3.23
Pm6 0.8750 0.2500 0.6250  4 Ni 2.95, 4 Sb 3.23
Ni1 0.1250 0.7500 0.3750  4 Sb 2.65, 4 Pm 2.95
Ni2 0.3750 0.2500 0.1250  4 Sb 2.65, 4 Pm 2.95
Ni3 0.2500 0.3750 0.6250  4 Sb 2.65, 4 Pm 2.95
Ni4 0.6250 0.8750 0.2500  4 Sb 2.65, 4 Pm 2.95
Ni5 0.7500 0.1250 0.8750  4 Sb 2.65, 4 Pm 2.95
Ni6 0.8750 0.6250 0.7500  4 Sb 2.65, 4 Pm 2.95
Sb1 0.5000 0.3525 0.5000  3 Ni 2.65
Sb2 0.1475 0.6475 0.6475  3 Ni 2.65
Sb3 0.3525 0.5000 0.0000  3 Ni 2.65
Sb4 0.0000 0.0000 0.3525  3 Ni 2.65
Sb5 0.6475 0.1475 0.1475  3 Ni 2.65
Sb6 0.8525 0.5000 0.0000  3 Ni 2.65
Sb7 0.5000 0.8525 0.5000  3 Ni 2.65
Sb8 0.0000 0.0000 0.8525  3 Ni 2.65

Calculated values
Space-group type   I-43d
Density of states at the Fermi level   17.2 states/eV per cell
Raw formation energy   -8.07 eV/f.u.
Size of the total moment   0.000 μB/cell
VASP energy   -5.616 eV per atom

# PmNiSb3

An optimized crystal structure of PmNiSb3 (PBE, the Alexandria database).

Cell lengths 6.0980, 6.1945, 12.6832 Å; angles 90.00, 90.00, 90.00 degrees
Closest atoms and distances in Å follow each position.
Fractional positions:
Sb1 0.5000 0.7500 0.5020  4 Sb 3.05-3.10, 4 Pm 3.28-3.32
Sb2 0.0000 0.7500 0.5020  4 Sb 3.05-3.10, 4 Pm 3.28-3.32
Sb3 0.7500 0.4013 0.9493  4 Ni 2.61-2.71
Sb4 0.2500 0.4967 0.7804  2 Ni 2.67
Sb5 0.2500 0.5987 0.0507  4 Ni 2.61-2.71
Sb6 0.7500 0.0033 0.7804  2 Ni 2.67
Sb7 0.7500 0.5033 0.2196  2 Ni 2.67
Sb8 0.2500 0.0987 0.9493  4 Ni 2.61-2.71
Sb9 0.2500 0.9967 0.2196  2 Ni 2.67
Sb10 0.5000 0.2500 0.4980  4 Sb 3.05-3.10, 4 Pm 3.28-3.32
Sb11 0.0000 0.2500 0.4980  4 Sb 3.05-3.10, 4 Pm 3.28-3.32
Sb12 0.7500 0.9013 0.0507  4 Ni 2.61-2.71
Ni1 0.5000 0.7500 0.9013  6 Sb 2.61-2.71
Ni2 0.0000 0.7500 0.9013  6 Sb 2.61-2.71
Ni3 0.5000 0.2500 0.0987  6 Sb 2.61-2.71
Ni4 0.0000 0.2500 0.0987  6 Sb 2.61-2.71
Pm1 0.2500 0.4992 0.3044  9 Sb 3.23-3.32, 2 Ni 3.39
Pm2 0.7500 0.0008 0.3044  9 Sb 3.23-3.32, 2 Ni 3.39
Pm3 0.2500 0.9992 0.6956  9 Sb 3.23-3.32, 2 Ni 3.39
Pm4 0.7500 0.5008 0.6956  9 Sb 3.23-3.32, 2 Ni 3.39

Calculated values
Space-group type   Pbcm
Density of states at the Fermi level   7.9 states/eV per cell
Raw formation energy   -2.82 eV/f.u.
Size of the total moment   0.000 μB/cell
VASP energy   -5.145 eV per atom

# PmNiSb2

An optimized crystal structure of PmNiSb2 (PBE, the Alexandria database).

Cell lengths 4.1989, 4.6755, 4.6755 Å; angles 90.00, 90.00, 90.00 degrees
Closest atoms and distances in Å follow each position.
Fractional positions:
Sb1 0.0000 0.5000 0.0000  4 Ni 3.14, 4 Pm 3.14, 4 Sb 3.31
Sb2 0.0000 0.0000 0.5000  4 Ni 3.14, 4 Pm 3.14, 4 Sb 3.31
Ni1 0.5000 0.5000 0.5000  8 Sb 3.14, 4 Pm 3.31
Pm1 0.5000 0.0000 0.0000  8 Sb 3.14, 4 Ni 3.31

Calculated values
Space-group type   P4/mmm
Density of states at the Fermi level   2.7 states/eV per cell
Raw formation energy   -1.36 eV/f.u.
Size of the total moment   0.000 μB/cell
VASP energy   -5.034 eV per atom

# PmNi3Sb2

An optimized crystal structure of PmNi3Sb2 (PBE, the Alexandria database).

Cell lengths 4.1668, 8.3764, 9.9836 Å; angles 104.20, 90.00, 104.40 degrees
Closest atoms and distances in Å follow each position.
Fractional positions:
Pm1 0.8409 0.6819 0.2947  6 Sb 3.20-3.30, 9 Ni 3.22-3.54
Pm2 0.0000 0.0000 0.0000  6 Sb 3.17-3.20, 8 Ni 3.26-3.39
Pm3 0.1591 0.3181 0.7053  6 Sb 3.20-3.30, 9 Ni 3.22-3.54
Sb1 0.6540 0.3080 0.4607  7 Ni 2.54-2.71
Sb2 0.5218 0.0436 0.7679  5 Ni 2.49-2.61
Sb3 0.7987 0.5973 0.8949  6 Ni 2.52-2.65
Sb4 0.3460 0.6920 0.5393  7 Ni 2.54-2.71
Sb5 0.2013 0.4027 0.1051  6 Ni 2.52-2.65
Sb6 0.4782 0.9564 0.2321  5 Ni 2.49-2.61
Ni1 0.6313 0.2625 0.1974  3 Ni 2.53-2.71, 4 Sb 2.56-2.65
Ni2 0.6559 0.3118 0.9571  4 Sb 2.49-2.55, 1 Ni 2.53
Ni3 0.3687 0.7375 0.8026  3 Ni 2.53-2.71, 4 Sb 2.56-2.65
Ni4 0.2041 0.4082 0.3583  4 Sb 2.52-2.54, 3 Ni 2.59-2.71
Ni5 0.3441 0.6882 0.0429  4 Sb 2.49-2.55, 1 Ni 2.53
Ni6 0.0473 0.0945 0.3739  3 Ni 2.59-2.65, 4 Sb 2.61-2.71
Ni7 0.7959 0.5918 0.6417  4 Sb 2.52-2.54, 3 Ni 2.59-2.71
Ni8 0.5000 0.0000 0.5000  4 Sb 2.61-2.63, 4 Ni 2.65
Ni9 0.9527 0.9055 0.6261  3 Ni 2.59-2.65, 4 Sb 2.61-2.71

Calculated values
Space-group type   C2/m
Density of states at the Fermi level   12.2 states/eV per cell
Raw formation energy   -3.20 eV/f.u.
Size of the total moment   0.000 μB/cell
VASP energy   -5.589 eV per atom

# Pm8Ni2Sb

An optimized crystal structure of Pm8Ni2Sb (PBE, the Alexandria database).

Cell lengths 5.5223, 8.0640, 8.0640 Å; angles 114.92, 97.32, 97.32 degrees
Closest atoms and distances in Å follow each position.
Fractional positions:
Sb1 0.5000 0.0000 0.0000  12 Pm 3.33-3.69
Pm1 0.9212 0.9226 0.6709  2 Ni 2.88-2.94
Pm2 0.0788 0.3291 0.0774  2 Ni 2.88-2.94
Pm3 0.6961 0.3933 0.3933  4 Pm 3.17-3.43, 2 Ni 3.19, 1 Sb 3.33
Pm4 0.9212 0.6709 0.9226  2 Ni 2.88-2.94
Pm5 0.0788 0.0774 0.3291  2 Ni 2.88-2.94
Pm6 0.5000 0.2464 0.7536  2 Ni 2.86
Pm7 0.3039 0.6067 0.6067  4 Pm 3.17-3.43, 2 Ni 3.19, 1 Sb 3.33
Pm8 0.5000 0.7536 0.2464  2 Ni 2.86
Ni1 0.0000 0.3018 0.6982  8 Pm 2.86-3.19
Ni2 0.0000 0.6982 0.3018  8 Pm 2.86-3.19

Calculated values
Space-group type   C2/m
Density of states at the Fermi level   14.1 states/eV per cell
Raw formation energy   -2.47 eV/f.u.
Size of the total moment   0.000 μB/cell
VASP energy   -5.105 eV per atom